[1]
! InIrW2, single point on PBEsol structure, DFT SCAN; values from VASP
! Total moment in μB per formula unit: 0.0
! Calculated formation energy in meV per atom: 270
! Total DFT energy (no corrections) in eV per atom: -60.696
&SYSTEM
  ibrav = 0, nat = 4, ntyp = 3
/
ATOMIC_SPECIES
In 114.82 In.upf
Ir 192.22 Ir.upf
W 183.84 W.upf
CELL_PARAMETERS angstrom
2.851 0.000 0.000
0.000 3.649 0.000
0.000 0.000 6.271
ATOMIC_POSITIONS angstrom
In 0.000 0.000 0.000
Ir 1.426 1.825 1.634
W 0.000 0.000 3.025
W 1.426 1.825 4.566

[2]
! ScRuBr2, single point on PBEsol structure, DFT SCAN; values from VASP
! Total moment in μB per formula unit: 0.9
! Total DFT energy (no corrections) in eV per atom: -22.128
! E_form (uncorrected) in meV/atom: -132
&SYSTEM
  ibrav = 0, nat = 8, ntyp = 3
/
ATOMIC_SPECIES
Sc 44.96 Sc.upf
Ru 101.07 Ru.upf
Br 79.90 Br.upf
CELL_PARAMETERS angstrom
6.115 0.000 0.000
0.000 6.513 0.000
0.000 0.000 4.095
ATOMIC_POSITIONS angstrom
Sc 0.000 0.000 0.000
Sc 3.058 3.256 0.000
Ru 0.000 3.256 0.000
Ru 3.058 0.000 0.000
Br 0.000 1.749 2.047
Br 0.000 4.763 2.047
Br 3.058 1.507 2.047
Br 3.058 5.005 2.047

[3]
! FeIrBr2, single point on PBEsol structure, DFT SCAN; values from VASP
! Excess energy over the best structure of this formula in the dataset in meV/atom: 1144
! Total moment in μB per formula unit: 2.3
! Total DFT energy (no corrections) in eV per atom: -30.896
! E_form (uncorrected) in meV/atom: 1141
&SYSTEM
  ibrav = 0, nat = 16, ntyp = 3
/
ATOMIC_SPECIES
Fe 55.84 Fe.upf
Ir 192.22 Ir.upf
Br 79.90 Br.upf
CELL_PARAMETERS angstrom
6.404 0.000 0.000
0.000 6.404 0.000
0.000 0.000 6.404
ATOMIC_POSITIONS angstrom
Fe 0.000 0.000 0.000
Fe 0.000 3.202 3.202
Fe 3.202 0.000 3.202
Fe 3.202 3.202 0.000
Ir 0.000 0.000 3.202
Ir 0.000 3.202 0.000
Ir 3.202 0.000 0.000
Ir 3.202 3.202 3.202
Br 1.601 1.601 1.601
Br 1.601 1.601 4.803
Br 1.601 4.803 1.601
Br 1.601 4.803 4.803
Br 4.803 1.601 1.601
Br 4.803 1.601 4.803
Br 4.803 4.803 1.601
Br 4.803 4.803 4.803

[4]
! NiSbAu3, single point on PBEsol structure, DFT SCAN; values from VASP
! Total moment in μB per formula unit: 0.0
! Total DFT energy (no corrections) in eV per atom: -51.601
! E_form (uncorrected) in meV/atom: 580
&SYSTEM
  ibrav = 0, nat = 5, ntyp = 3
/
ATOMIC_SPECIES
Ni 58.69 Ni.upf
Sb 121.76 Sb.upf
Au 196.97 Au.upf
CELL_PARAMETERS angstrom
4.672 0.000 0.000
0.000 4.672 0.000
0.000 0.000 4.672
ATOMIC_POSITIONS angstrom
Ni 0.000 0.000 0.000
Sb 2.336 2.336 2.336
Au 0.000 0.000 2.336
Au 0.000 2.336 0.000
Au 2.336 0.000 0.000

[5]
! BeAl2Ni, single point on PBEsol structure, DFT SCAN; values from VASP
! Total moment in μB per formula unit: 0.0
! Calculated formation energy in meV per atom: -115
! Total DFT energy (no corrections) in eV per atom: -9.123
&SYSTEM
  ibrav = 0, nat = 12, ntyp = 3
/
ATOMIC_SPECIES
Be 9.01 Be.upf
Al 26.98 Al.upf
Ni 58.69 Ni.upf
CELL_PARAMETERS angstrom
2.700 0.000 0.000
-1.350 2.338 0.000
0.000 0.000 23.618
ATOMIC_POSITIONS angstrom
Be 0.000 0.000 0.000
Be 0.000 1.559 15.745
Be 1.350 0.779 7.873
Al 0.000 0.000 5.841
Al 0.000 0.000 17.777
Al 0.000 1.559 9.904
Al 0.000 1.559 21.586
Al 1.350 0.779 2.032
Al 1.350 0.779 13.714
Ni 0.000 0.000 11.809
Ni 0.000 1.559 3.936
Ni 1.350 0.779 19.682

[6]
! CdIrCl, single point on PBEsol structure, DFT SCAN; values from VASP
! Total moment in μB per formula unit: 0.7
! Total DFT energy (no corrections) in eV per atom: -36.081
! E_form (uncorrected) in meV/atom: 417
&SYSTEM
  ibrav = 0, nat = 3, ntyp = 3
/
ATOMIC_SPECIES
Cd 112.41 Cd.upf
Ir 192.22 Ir.upf
Cl 35.45 Cl.upf
CELL_PARAMETERS angstrom
3.071 0.000 0.000
-1.536 2.660 0.000
0.000 0.000 6.252
ATOMIC_POSITIONS angstrom
Cd 0.000 0.000 0.000
Ir 1.536 0.887 2.087
Cl 0.000 1.773 4.067

[7]
! Be2SiPb, single point on PBEsol structure, DFT SCAN; values from VASP
! Excess energy over the best structure of this formula in the dataset in meV/atom: 0
! Total moment in μB per formula unit: 0.0
! Total DFT energy (no corrections) in eV per atom: -23.045
! E_form (uncorrected) in meV/atom: 581
&SYSTEM
  ibrav = 0, nat = 4, ntyp = 3
/
ATOMIC_SPECIES
Be 9.01 Be.upf
Si 28.09 Si.upf
Pb 207.20 Pb.upf
CELL_PARAMETERS angstrom
3.009 0.000 0.000
0.000 3.693 0.000
-1.141 0.000 6.067
ATOMIC_POSITIONS angstrom
Be 0.255 0.000 2.154
Be 1.613 0.000 3.913
Si -0.571 1.846 3.033
Pb 0.000 1.846 0.000

[8]
! SrEuO2, single point on PBEsol structure, DFT SCAN; values from VASP
! Total moment in μB per formula unit: 7.0
! Total DFT energy (no corrections) in eV per atom: -25.114
! E_form (uncorrected) in meV/atom: -3002
&SYSTEM
  ibrav = 0, nat = 12, ntyp = 3
/
ATOMIC_SPECIES
Sr 87.62 Sr.upf
Eu 151.96 Eu.upf
O 16.00 O.upf
CELL_PARAMETERS angstrom
3.570 0.000 0.000
-1.785 3.091 0.000
0.000 0.000 17.584
ATOMIC_POSITIONS angstrom
Sr 0.000 0.000 0.000
Sr 0.000 2.061 11.723
Sr 1.785 1.030 5.861
Eu 0.000 0.000 8.792
Eu 0.000 2.061 2.931
Eu 1.785 1.030 14.653
O 0.000 0.000 4.343
O 0.000 0.000 13.241
O 0.000 2.061 7.380
O 0.000 2.061 16.066
O 1.785 1.030 1.518
O 1.785 1.030 10.204